Entry 1:
DFT (GGA-PBE) results for an optimized crystal structure of SnIrPtRh2.

a b c (Å): 4.7655 4.7655 4.8309
angles (deg): 90.00 90.00 90.00
Fractional coordinates of all 5 atoms:
1 Sn 0.0000 0.0000 0.0000
2 Ir 0.0000 0.0000 0.5000
3 Pt 0.5000 0.5000 0.5000
4 Rh 0.0000 0.5000 0.0000
5 Rh 0.5000 0.0000 0.0000

Properties
Total DFT energy (no corrections)   -25.52 eV per cell
Formation enthalpy at 0 K   1.618 eV/atom

=====

Entry 2:
DFT (GGA-PBE) results for an optimized crystal structure of Ag5PdCl8.

a b c (Å): 7.9289 7.9289 7.9289
angles (deg): 103.28 103.28 122.73
Fractional coordinates of all 14 atoms:
1 Ag 0.0000 0.0000 0.0000
2 Ag 0.1979 0.7194 0.0702
3 Ag 0.2806 0.3508 0.4785
4 Ag 0.6492 0.1277 0.9298
5 Ag 0.8723 0.8021 0.5215
6 Pd 0.7500 0.2500 0.5000
7 Cl 0.0196 0.2262 0.6510
8 Cl 0.0676 0.9053 0.2960
9 Cl 0.0947 0.3907 0.1623
10 Cl 0.2284 0.9324 0.8377
11 Cl 0.5752 0.3686 0.3490
12 Cl 0.6093 0.7716 0.7040
13 Cl 0.6314 0.9804 0.2066
14 Cl 0.7738 0.4248 0.7934

Properties
Total DFT energy (no corrections)   -39.68 eV per cell
Excess energy over the best structure of this formula in the dataset   0.000 eV/atom

=====

Entry 3:
DFT (GGA-PBE) results for an optimized crystal structure of LaBe2Os.

a b c (Å): 4.8217 4.8217 4.8217
angles (deg): 130.94 111.59 88.67
Fractional coordinates of all 4 atoms:
1 La 0.0000 0.0000 0.0000
2 Be 0.5068 0.5068 0.0000
3 Be 0.6686 0.1686 0.5000
4 Os 0.3573 0.8573 0.5000

Properties
Total DFT energy (no corrections)   -22.24 eV per cell
Excess energy over the best structure of this formula in the dataset   0.482 eV/atom
Formation enthalpy at 0 K   0.343 eV/atom

=====

Entry 4:
DFT (GGA-PBE) results for an optimized crystal structure of Ac6Tl3Sn.

a b c (Å): 12.6367 4.4126 14.9455
angles (deg): 90.00 109.01 90.00
Fractional coordinates of all 20 atoms:
1 Ac 0.0036 0.2500 0.3519
2 Ac 0.1031 0.2500 0.9052
3 Ac 0.2384 0.7500 0.3244
4 Ac 0.3391 0.7500 0.7736
5 Ac 0.3502 0.7500 0.1250
6 Ac 0.3894 0.2500 0.5431
7 Ac 0.6106 0.7500 0.4569
8 Ac 0.6498 0.2500 0.8750
9 Ac 0.6609 0.2500 0.2264
10 Ac 0.7616 0.2500 0.6756
11 Ac 0.8969 0.7500 0.0948
12 Ac 0.9964 0.7500 0.6481
13 Tl 0.1190 0.2500 0.1374
14 Tl 0.1729 0.7500 0.5262
15 Tl 0.4011 0.2500 0.9633
16 Tl 0.5989 0.7500 0.0367
17 Tl 0.8271 0.2500 0.4738
18 Tl 0.8810 0.7500 0.8626
19 Sn 0.4413 0.2500 0.3115
20 Sn 0.5587 0.7500 0.6885

Properties
Total DFT energy (no corrections)   -77.08 eV per cell
Formation enthalpy at 0 K   -0.279 eV/atom

=====

Entry 5:
DFT (GGA-PBE) results for an optimized crystal structure of ZrSi3S.

a b c (Å): 5.1350 5.1350 5.1350
angles (deg): 90.00 90.00 90.00
Fractional coordinates of all 5 atoms:
1 Zr 0.0000 0.0000 0.0000
2 Si 0.0000 0.0000 0.5000
3 Si 0.0000 0.5000 0.0000
4 Si 0.5000 0.0000 0.0000
5 S 0.5000 0.5000 0.5000

Properties
Total DFT energy (no corrections)   -23.11 eV per cell
Excess energy over the best structure of this formula in the dataset   0.651 eV/atom

=====

Entry 6:
DFT (GGA-PBE) results for an optimized crystal structure of Ca2Tl12Pb5.

a b c (Å): 9.3257 9.3257 11.6693
angles (deg): 127.54 127.54 53.01
Fractional coordinates of all 19 atoms:
1 Ca 0.2460 0.7540 0.0000
2 Ca 0.7540 0.2460 0.0000
3 Tl 0.0293 0.5879 0.4006
4 Tl 0.1191 0.1191 0.3063
5 Tl 0.1273 0.6918 0.2169
6 Tl 0.3082 0.8727 0.7831
7 Tl 0.4023 0.4023 0.6936
8 Tl 0.4121 0.9707 0.5994
9 Tl 0.5879 0.0293 0.4006
10 Tl 0.5977 0.5977 0.3064
11 Tl 0.6918 0.1273 0.2169
12 Tl 0.8727 0.3082 0.7831
13 Tl 0.8809 0.8809 0.6937
14 Tl 0.9707 0.4121 0.5994
15 Pb 0.2221 0.2221 0.1224
16 Pb 0.3123 0.3123 0.9318
17 Pb 0.5000 0.5000 0.5000
18 Pb 0.6877 0.6877 0.0682
19 Pb 0.7779 0.7779 0.8776

Properties
Total DFT energy (no corrections)   -52.21 eV per cell
Excess energy over the best structure of this formula in the dataset   0.000 eV/atom
Formation enthalpy at 0 K   -0.067 eV/atom

=====

Entry 7:
DFT (GGA-PBE) results for an optimized crystal structure of LaCuSn3.

a b c (Å): 5.1383 5.1383 5.1383
angles (deg): 90.00 90.00 90.00
Fractional coordinates of all 5 atoms:
1 La 0.0000 0.0000 0.0000
2 Cu 0.5000 0.5000 0.5000
3 Sn 0.0000 0.5000 0.5000
4 Sn 0.5000 0.0000 0.5000
5 Sn 0.5000 0.5000 0.0000

Properties
Total DFT energy (no corrections)   -21.82 eV per cell
Excess energy over the best structure of this formula in the dataset   0.276 eV/atom
Formation enthalpy at 0 K   -0.158 eV/atom

=====

Entry 8:
DFT (GGA-PBE) results for an optimized crystal structure of Li2TaSiN4.

a b c (Å): 5.5104 5.5104 5.5104
angles (deg): 129.45 129.45 74.29
Fractional coordinates of all 8 atoms:
1 Li 0.0000 0.0000 0.0000
2 Li 0.7500 0.2500 0.5000
3 Ta 0.5000 0.5000 0.0000
4 Si 0.2500 0.7500 0.5000
5 N 0.1780 0.0959 0.5357
6 N 0.3577 0.8220 0.9178
7 N 0.5601 0.6423 0.4643
8 N 0.9041 0.4399 0.0822

Properties
Total DFT energy (no corrections)   -60.44 eV per cell

=====

Entry 9:
DFT (GGA-PBE) results for an optimized crystal structure of Co2Cl.

a b c (Å): 4.1797 4.1797 9.3932
angles (deg): 109.74 109.74 47.85
Fractional coordinates of all 6 atoms:
1 Co 0.0000 0.0000 0.0000
2 Co 0.0150 0.0150 0.2670
3 Co 0.3316 0.3316 0.0803
4 Co 0.6837 0.6837 0.1880
5 Cl 0.3229 0.3229 0.8270
6 Cl 0.8733 0.8733 0.4436

Properties
Total DFT energy (no corrections)   -32.12 eV per cell
Excess energy over the best structure of this formula in the dataset   0.109 eV/atom

=====

Entry 10:
DFT (GGA-PBE) results for an optimized crystal structure of La4Nd2Sc.

a b c (Å): 7.3019 7.3019 6.0295
angles (deg): 90.00 90.00 129.68
Fractional coordinates of all 7 atoms:
1 La 0.1328 0.8672 0.0000
2 La 0.3114 0.6886 0.5000
3 La 0.6886 0.3114 0.5000
4 La 0.8672 0.1328 0.0000
5 Nd 0.3907 0.6093 0.0000
6 Nd 0.6093 0.3907 0.0000
7 Sc 0.0000 0.0000 0.5000

Properties
Total DFT energy (no corrections)   -32.52 eV per cell
Excess energy over the best structure of this formula in the dataset   0.374 eV/atom
Formation enthalpy at 0 K   0.437 eV/atom

=====

Entry 11:
DFT (GGA-PBE) results for an optimized crystal structure of LaGaBPt6.

a b c (Å): 7.8453 7.8453 7.8453
angles (deg): 126.80 115.12 88.66
Fractional coordinates of all 18 atoms:
1 La 0.4214 0.1714 0.2500
2 La 0.5786 0.8286 0.7500
3 Ga 0.0000 0.0000 0.5000
4 Ga 0.0000 0.5000 0.0000
5 B 0.0000 0.5000 0.5000
6 B 0.5000 0.5000 0.0000
7 Pt 0.1095 0.3937 0.2593
8 Pt 0.1095 0.8502 0.7158
9 Pt 0.1551 0.9051 0.2500
10 Pt 0.3089 0.5589 0.7500
11 Pt 0.3656 0.1498 0.7593
12 Pt 0.3656 0.6063 0.2158
13 Pt 0.6344 0.3937 0.7842
14 Pt 0.6344 0.8502 0.2407
15 Pt 0.6911 0.4411 0.2500
16 Pt 0.8449 0.0949 0.7500
17 Pt 0.8905 0.1498 0.2842
18 Pt 0.8905 0.6063 0.7407

Properties
Total DFT energy (no corrections)   -111.03 eV per cell
Formation enthalpy at 0 K   -0.515 eV/atom

=====

Entry 12:
DFT (GGA-PBE) results for an optimized crystal structure of Cs2GaPtN.

a b c (Å): 6.8097 6.8097 3.7173
angles (deg): 90.00 90.00 90.00
Fractional coordinates of all 5 atoms:
1 Cs 0.0000 0.5000 0.0000
2 Cs 0.5000 0.0000 0.0000
3 Ga 0.0000 0.0000 0.5000
4 Pt 0.5000 0.5000 0.5000
5 N 0.5000 0.5000 0.0000

Properties
Total DFT energy (no corrections)   -18.64 eV per cell

=====

Entry 13:
DFT (GGA-PBE) results for an optimized crystal structure of AlCr2As.

a b c (Å): 3.0582 3.0582 5.8838
angles (deg): 90.00 90.00 90.00
Fractional coordinates of all 4 atoms:
1 Al 0.0000 0.0000 0.0000
2 Cr 0.5000 0.5000 0.2659
3 Cr 0.5000 0.5000 0.7341
4 As 0.0000 0.0000 0.5000

Properties
Total DFT energy (no corrections)   -27.47 eV per cell
Excess energy over the best structure of this formula in the dataset   0.096 eV/atom
Formation enthalpy at 0 K   0.041 eV/atom

=====

Entry 14:
DFT (GGA-PBE) results for an optimized crystal structure of LaAgSeN2.

a b c (Å): 4.1374 4.1374 6.5760
angles (deg): 90.00 90.00 90.00
Fractional coordinates of all 5 atoms:
1 La 0.0000 0.0000 0.0000
2 Ag 0.5000 0.5000 0.5000
3 Se 0.0000 0.0000 0.5000
4 N 0.0000 0.5000 0.0000
5 N 0.5000 0.0000 0.0000

Properties
Total DFT energy (no corrections)   -23.95 eV per cell
Excess energy over the best structure of this formula in the dataset   0.182 eV/atom

=====

Entry 15:
DFT (GGA-PBE) results for an optimized crystal structure of Ac3In4Ge4.

a b c (Å): 9.2652 9.2652 9.2652
angles (deg): 152.73 122.43 64.84
Fractional coordinates of all 11 atoms:
1 Ac 0.0000 0.0000 0.0000
2 Ac 0.3839 0.8839 0.5000
3 Ac 0.6161 0.1161 0.5000
4 In 0.0235 0.3288 0.6948
5 In 0.3660 0.6712 0.6948
6 In 0.6340 0.3288 0.3052
7 In 0.9765 0.6712 0.3052
8 Ge 0.2230 0.2230 0.0000
9 Ge 0.2865 0.5000 0.7865
10 Ge 0.7135 0.5000 0.2135
11 Ge 0.7770 0.7770 0.0000

Properties
Total DFT energy (no corrections)   -46.33 eV per cell
Formation enthalpy at 0 K   -0.417 eV/atom

=====

Entry 16:
DFT (GGA-PBE) results for an optimized crystal structure of Y12InCu5.

a b c (Å): 8.4833 8.4833 8.4833
angles (deg): 111.84 110.20 106.43
Fractional coordinates of all 18 atoms:
1 Y 0.0390 0.2295 0.8096
2 Y 0.1804 0.2809 0.4614
3 Y 0.1804 0.7191 0.8995
4 Y 0.3219 0.0196 0.6977
5 Y 0.3219 0.6243 0.3023
6 Y 0.4199 0.2295 0.1904
7 Y 0.5801 0.7705 0.8096
8 Y 0.6781 0.3757 0.6977
9 Y 0.6781 0.9804 0.3023
10 Y 0.8196 0.2809 0.1005
11 Y 0.8196 0.7191 0.5386
12 Y 0.9610 0.7705 0.1904
13 In 0.5000 0.5000 0.0000
14 Cu 0.0000 0.0000 0.0000
15 Cu 0.1205 0.6205 0.5000
16 Cu 0.3572 0.0000 0.3572
17 Cu 0.6428 0.0000 0.6428
18 Cu 0.8795 0.3795 0.5000

Properties
Total DFT energy (no corrections)   -104.58 eV per cell
Formation enthalpy at 0 K   -0.210 eV/atom

=====

Entry 17:
DFT (GGA-PBE) results for an optimized crystal structure of CaCuPd.

a b c (Å): 5.3685 5.3685 5.3685
angles (deg): 122.29 116.88 90.79
Fractional coordinates of all 6 atoms:
1 Ca 0.3727 0.1227 0.2500
2 Ca 0.6273 0.8773 0.7500
3 Cu 0.0000 0.0000 0.5000
4 Cu 0.0000 0.5000 0.0000
5 Pd 0.0000 0.5000 0.5000
6 Pd 0.5000 0.5000 0.0000

Properties
Total DFT energy (no corrections)   -25.60 eV per cell
Excess energy over the best structure of this formula in the dataset   0.000 eV/atom
Formation enthalpy at 0 K   -0.503 eV/atom

=====

Entry 18:
DFT (GGA-PBE) results for an optimized crystal structure of LiCePu2Au4.

a b c (Å): 8.7606 8.7606 8.7606
angles (deg): 33.80 33.80 33.80
Fractional coordinates of all 8 atoms:
1 Li 0.0000 0.0000 0.0000
2 Ce 0.5000 0.5000 0.5000
3 Pu 0.2526 0.2526 0.2526
4 Pu 0.7474 0.7474 0.7474
5 Au 0.1202 0.1202 0.1202
6 Au 0.3749 0.3749 0.3749
7 Au 0.6251 0.6251 0.6251
8 Au 0.8798 0.8798 0.8798

Properties
Total DFT energy (no corrections)   -53.13 eV per cell
Formation enthalpy at 0 K   -0.438 eV/atom

=====

Entry 19:
DFT (GGA-PBE) results for an optimized crystal structure of FeRuSe2.

a b c (Å): 6.7796 6.7796 6.7796
angles (deg): 132.79 132.79 68.99
Fractional coordinates of all 8 atoms:
1 Fe 0.0000 0.0000 0.0000
2 Fe 0.7500 0.2500 0.5000
3 Ru 0.2500 0.7500 0.5000
4 Ru 0.5000 0.5000 0.0000
5 Se 0.1182 0.6250 0.9932
6 Se 0.3750 0.3682 0.4932
7 Se 0.6318 0.1250 0.0068
8 Se 0.8750 0.8818 0.5068

Properties
Total DFT energy (no corrections)   -48.84 eV per cell
Excess energy over the best structure of this formula in the dataset   0.297 eV/atom

=====

Entry 20:
DFT (GGA-PBE) results for an optimized crystal structure of Tl7HgBi4.

a b c (Å): 5.6533 5.6533 13.9859
angles (deg): 90.00 90.00 120.00
Fractional coordinates of all 12 atoms:
1 Tl 0.0000 0.0000 0.0000
2 Tl 0.0000 0.0000 0.2556
3 Tl 0.0000 0.0000 0.7444
4 Tl 0.3333 0.6667 0.1570
5 Tl 0.3333 0.6667 0.4175
6 Tl 0.6667 0.3333 0.5825
7 Tl 0.6667 0.3333 0.8430
8 Hg 0.0000 0.0000 0.5000
9 Bi 0.3333 0.6667 0.6731
10 Bi 0.3333 0.6667 0.8999
11 Bi 0.6667 0.3333 0.1001
12 Bi 0.6667 0.3333 0.3269

Properties
Total DFT energy (no corrections)   -32.50 eV per cell
Formation enthalpy at 0 K   -0.009 eV/atom

=====

Entry 21:
DFT (GGA-PBE) results for an optimized crystal structure of NdErGa.

a b c (Å): 7.0510 7.0510 7.0510
angles (deg): 151.06 151.06 41.38
Fractional coordinates of all 3 atoms:
1 Nd 0.0000 0.0000 0.0000
2 Er 0.2890 0.2890 0.0000
3 Ga 0.6537 0.6537 0.0000

Properties
Total DFT energy (no corrections)   -13.41 eV per cell
Excess energy over the best structure of this formula in the dataset   0.055 eV/atom
Formation enthalpy at 0 K   -0.351 eV/atom

=====

Entry 22:
DFT (GGA-PBE) results for an optimized crystal structure of NdMg4Ag8.

a b c (Å): 7.3271 7.3271 7.3271
angles (deg): 98.67 98.67 134.32
Fractional coordinates of all 13 atoms:
1 Nd 0.0000 0.0000 0.0000
2 Mg 0.0000 0.0000 0.5000
3 Mg 0.0000 0.5000 0.0000
4 Mg 0.5000 0.0000 0.0000
5 Mg 0.5000 0.5000 0.5000
6 Ag 0.0000 0.3468 0.3468
7 Ag 0.0000 0.6532 0.6532
8 Ag 0.2840 0.5000 0.7840
9 Ag 0.3468 0.0000 0.3468
10 Ag 0.5000 0.2840 0.7840
11 Ag 0.5000 0.7160 0.2160
12 Ag 0.6532 0.0000 0.6532
13 Ag 0.7160 0.5000 0.2160

Properties
Total DFT energy (no corrections)   -36.03 eV per cell
Formation enthalpy at 0 K   -0.159 eV/atom

=====

Entry 23:
DFT (GGA-PBE) results for an optimized crystal structure of SnGeBr2.

a b c (Å): 6.7248 6.7248 6.7248
angles (deg): 104.45 104.45 120.06
Fractional coordinates of all 8 atoms:
1 Sn 0.0000 0.0000 0.0000
2 Sn 0.7500 0.2500 0.5000
3 Ge 0.2500 0.7500 0.5000
4 Ge 0.5000 0.5000 0.0000
5 Br 0.1455 0.6250 0.0205
6 Br 0.3750 0.3955 0.5205
7 Br 0.6045 0.1250 0.9795
8 Br 0.8750 0.8545 0.4795

Properties
Total DFT energy (no corrections)   -24.45 eV per cell
Excess energy over the best structure of this formula in the dataset   0.047 eV/atom